# Y2SeF2, relaxed, DFT PBE-GGA
# **Calculated density**: 5.55 g cm⁻³
# **Uncorrected energy**: -66.4 eV/cell
# **Uncorrected formation energy**: -2.6058 eV/atom
# **Size of the total moment**: 1.14 μB per formula unit
data_Y2SeF2
_cell_length_a 3.6878
_cell_length_b 3.6878
_cell_length_c 12.9774
_cell_angle_alpha 90.00
_cell_angle_beta 90.00
_cell_angle_gamma 90.00
_symmetry_space_group_name_H-M 'I 4/m m m'
_symmetry_Int_Tables_number 139
_symmetry_space_group_name_Hall '-I 4 2'
loop_
_atom_site_label
_atom_site_type_symbol
_atom_site_fract_x
_atom_site_fract_y
_atom_site_fract_z
Y1 Y 0.0000 0.0000 0.1273
Se1 Se 0.0000 0.0000 0.5000
F1 F 0.0000 0.5000 0.2500


# YSeF, relaxed, DFT PBE-GGA
# **Calculated density**: 3.82 g cm⁻³
# **Uncorrected energy**: -80.6 eV/cell
# **Uncorrected formation energy**: -2.7766 eV/atom
# **Size of the total moment**: 0.00 μB per formula unit
data_YSeF
_cell_length_a 5.0549
_cell_length_b 5.5290
_cell_length_c 11.6109
_cell_angle_alpha 90.00
_cell_angle_beta 90.00
_cell_angle_gamma 90.00
_symmetry_space_group_name_H-M 'I m m m'
_symmetry_Int_Tables_number 71
_symmetry_space_group_name_Hall '-I 2 2'
loop_
_atom_site_label
_atom_site_type_symbol
_atom_site_fract_x
_atom_site_fract_y
_atom_site_fract_z
Y1 Y 0.0000 0.0000 0.1559
Se1 Se 0.0000 0.5000 0.2127
F1 F 0.2430 0.0000 0.0000


# Y4Se5F, relaxed, DFT PBE-GGA
# **Calculated density**: 3.96 g cm⁻³
# **Uncorrected energy**: -130.0 eV/cell
# **Uncorrected formation energy**: -1.9833 eV/atom
# **Size of the total moment**: 0.00 μB per formula unit
data_Y4Se5F
_cell_length_a 15.1838
_cell_length_b 4.1209
_cell_length_c 10.8594
_cell_angle_alpha 90.00
_cell_angle_beta 108.10
_cell_angle_gamma 90.00
_symmetry_space_group_name_H-M 'C 1 2/m 1'
_symmetry_Int_Tables_number 12
loop_
_symmetry_equiv_pos_as_xyz
'x,y,z'
'-x,-y,-z'
'-x,y,-z'
'x,-y,z'
'x+1/2,y+1/2,z'
'-x+1/2,-y+1/2,-z'
'-x+1/2,y+1/2,-z'
'x+1/2,-y+1/2,z'
loop_
_atom_site_label
_atom_site_type_symbol
_atom_site_fract_x
_atom_site_fract_y
_atom_site_fract_z
Y1 Y 0.0048 0.0000 0.3267
Y2 Y 0.1514 0.5000 0.0794
Se1 Se 0.0000 0.5000 0.5000
Se2 Se 0.1507 0.0000 0.8880
Se3 Se 0.1638 0.0000 0.2623
F1 F 0.0000 0.5000 0.0000


# YSeF2, relaxed, DFT PBE-GGA
# **Calculated density**: 4.06 g cm⁻³
# **Uncorrected energy**: -48.3 eV/cell
# **Uncorrected formation energy**: -2.6091 eV/atom
# **Energy above the lowest structure with this stoichiometry**: 0.079 eV/atom
# **Size of the total moment**: 0.00 μB per formula unit
data_YSeF2
_cell_length_a 3.1006
_cell_length_b 3.9543
_cell_length_c 13.7511
_cell_angle_alpha 90.00
_cell_angle_beta 90.00
_cell_angle_gamma 90.00
_symmetry_space_group_name_H-M 'I m m 2'
_symmetry_Int_Tables_number 44
loop_
_symmetry_equiv_pos_as_xyz
'x,y,z'
'-x,-y,z'
'-x,y,z'
'x,-y,z'
'x+1/2,y+1/2,z+1/2'
'-x+1/2,-y+1/2,z+1/2'
'-x+1/2,y+1/2,z+1/2'
'x+1/2,-y+1/2,z+1/2'
loop_
_atom_site_label
_atom_site_type_symbol
_atom_site_fract_x
_atom_site_fract_y
_atom_site_fract_z
Y1 Y 0.0000 0.0000 0.0000
Se1 Se 0.0000 0.5000 0.6803
F1 F 0.0000 0.0000 0.5003
F2 F 0.0000 0.5000 0.3900


# YSeF, relaxed, DFT PBE-GGA
# **Calculated density**: 5.51 g cm⁻³
# **Uncorrected energy**: -37.4 eV/cell
# **Uncorrected formation energy**: -2.2884 eV/atom
# **Size of the total moment**: 0.00 μB per formula unit
data_YSeF
_cell_length_a 3.5103
_cell_length_b 3.5103
_cell_length_c 9.1449
_cell_angle_alpha 90.00
_cell_angle_beta 90.00
_cell_angle_gamma 90.00
_symmetry_space_group_name_H-M 'I 4 m m'
_symmetry_Int_Tables_number 107
_symmetry_space_group_name_Hall 'I 4 -2'
loop_
_atom_site_label
_atom_site_type_symbol
_atom_site_fract_x
_atom_site_fract_y
_atom_site_fract_z
Y1 Y 0.0000 0.0000 0.0000
Se1 Se 0.0000 0.0000 0.3263
F1 F 0.0000 0.0000 0.6153


# YSeF, relaxed, DFT PBE-GGA
# **Calculated density**: 4.59 g cm⁻³
# **Uncorrected energy**: -81.8 eV/cell
# **Uncorrected formation energy**: -2.8743 eV/atom
# **Size of the total moment**: 0.00 μB per formula unit
data_YSeF
_cell_length_a 11.6551
_cell_length_b 4.1263
_cell_length_c 5.6275
_cell_angle_alpha 90.00
_cell_angle_beta 90.00
_cell_angle_gamma 90.00
_symmetry_space_group_name_H-M 'P n m a'
_symmetry_Int_Tables_number 62
loop_
_symmetry_equiv_pos_as_xyz
'x,y,z'
'-x,-y,-z'
'-x+1/2,-y,z+1/2'
'x+1/2,y,-z+1/2'
'x+1/2,-y+1/2,-z+1/2'
'-x+1/2,y+1/2,z+1/2'
'-x,y+1/2,-z'
'x,-y+1/2,z'
loop_
_atom_site_label
_atom_site_type_symbol
_atom_site_fract_x
_atom_site_fract_y
_atom_site_fract_z
Y1 Y 0.1459 0.2500 0.0042
Se1 Se 0.1714 0.2500 0.5041
F1 F 0.0574 0.7500 0.0064


# YSeF, relaxed, DFT PBE-GGA
# **Calculated density**: 5.54 g cm⁻³
# **Uncorrected energy**: -20.3 eV/cell
# **Uncorrected formation energy**: -2.8420 eV/atom
# **Size of the total moment**: 0.00 μB per formula unit
data_YSeF
_cell_length_a 4.0109
_cell_length_b 4.0109
_cell_length_c 4.0171
_cell_angle_alpha 90.00
_cell_angle_beta 90.00
_cell_angle_gamma 120.00
_symmetry_space_group_name_H-M 'P -6 m 2'
_symmetry_Int_Tables_number 187
_symmetry_space_group_name_Hall 'P -6 2'
loop_
_atom_site_label
_atom_site_type_symbol
_atom_site_fract_x
_atom_site_fract_y
_atom_site_fract_z
Y1 Y 0.0000 0.0000 0.0000
Se1 Se 0.6667 0.3333 0.5000
F1 F 0.3333 0.6667 0.0000


# YSeF2, relaxed, DFT PBE-GGA
# **Calculated density**: 4.75 g cm⁻³
# **Uncorrected energy**: -73.3 eV/cell
# **Uncorrected formation energy**: -2.6878 eV/atom
# **Energy above the lowest structure with this stoichiometry**: 0.000 eV/atom
# **Size of the total moment**: 0.00 μB per formula unit
data_YSeF2
_cell_length_a 3.8448
_cell_length_b 3.8448
_cell_length_c 16.8663
_cell_angle_alpha 90.00
_cell_angle_beta 90.00
_cell_angle_gamma 120.00
_symmetry_space_group_name_H-M 'R -3 m'
_symmetry_Int_Tables_number 166
_symmetry_space_group_name_Hall '-R 3 2"'
loop_
_atom_site_label
_atom_site_type_symbol
_atom_site_fract_x
_atom_site_fract_y
_atom_site_fract_z
Y1 Y 0.0000 0.0000 0.0000
Se1 Se 0.0000 0.0000 0.5000
F1 F 0.0000 0.0000 0.3014


# YSeF, relaxed, DFT PBE-GGA
# **Calculated density**: 5.06 g cm⁻³
# **Uncorrected energy**: -81.0 eV/cell
# **Uncorrected formation energy**: -2.8088 eV/atom
# **Size of the total moment**: 0.00 μB per formula unit
data_YSeF
_cell_length_a 10.4120
_cell_length_b 3.7909
_cell_length_c 7.1400
_cell_angle_alpha 90.00
_cell_angle_beta 119.46
_cell_angle_gamma 90.00
_symmetry_space_group_name_H-M 'C 1 2/m 1'
_symmetry_Int_Tables_number 12
loop_
_symmetry_equiv_pos_as_xyz
'x,y,z'
'-x,-y,-z'
'-x,y,-z'
'x,-y,z'
'x+1/2,y+1/2,z'
'-x+1/2,-y+1/2,-z'
'-x+1/2,y+1/2,-z'
'x+1/2,-y+1/2,z'
loop_
_atom_site_label
_atom_site_type_symbol
_atom_site_fract_x
_atom_site_fract_y
_atom_site_fract_z
Y1 Y 0.1772 0.0000 0.2292
Se1 Se 0.0762 0.5000 0.8524
F1 F 0.2077 0.0000 0.5810


# Y3SeF, relaxed, DFT PBE-GGA
# **Calculated density**: 5.36 g cm⁻³
# **Uncorrected energy**: -29.6 eV/cell
# **Uncorrected formation energy**: -0.9756 eV/atom
# **Energy above the lowest structure with this stoichiometry**: 0.000 eV/atom
# **Size of the total moment**: 0.00 μB per formula unit
data_Y3SeF
_cell_length_a 4.8342
_cell_length_b 4.8342
_cell_length_c 4.8342
_cell_angle_alpha 90.00
_cell_angle_beta 90.00
_cell_angle_gamma 90.00
_symmetry_space_group_name_H-M 'P m -3 m'
_symmetry_Int_Tables_number 221
_symmetry_space_group_name_Hall '-P 4 2 3'
loop_
_atom_site_label
_atom_site_type_symbol
_atom_site_fract_x
_atom_site_fract_y
_atom_site_fract_z
Y1 Y 0.0000 0.0000 0.5000
Se1 Se 0.5000 0.5000 0.5000
F1 F 0.0000 0.0000 0.0000


# ZnSe3F, relaxed, DFT PBE-GGA
# **Calculated density**: 5.24 g cm⁻³
# **Uncorrected energy**: -11.6 eV/cell
# **Uncorrected formation energy**: 0.4068 eV/atom
# **Energy above the lowest structure with this stoichiometry**: 0.035 eV/atom
# **Size of the total moment**: 0.00 μB per formula unit
data_ZnSe3F
_cell_length_a 4.6684
_cell_length_b 4.6684
_cell_length_c 4.6684
_cell_angle_alpha 90.00
_cell_angle_beta 90.00
_cell_angle_gamma 90.00
_symmetry_space_group_name_H-M 'P m -3 m'
_symmetry_Int_Tables_number 221
_symmetry_space_group_name_Hall '-P 4 2 3'
loop_
_atom_site_label
_atom_site_type_symbol
_atom_site_fract_x
_atom_site_fract_y
_atom_site_fract_z
Zn1 Zn 0.0000 0.0000 0.0000
Se1 Se 0.0000 0.5000 0.5000
F1 F 0.5000 0.5000 0.5000


# ZnSe2F, relaxed, DFT PBE-GGA
# **Calculated density**: 5.98 g cm⁻³
# **Uncorrected energy**: -31.6 eV/cell
# **Uncorrected formation energy**: -0.1056 eV/atom
# **Energy above the lowest structure with this stoichiometry**: 0.276 eV/atom
# **Size of the total moment**: 0.00 μB per formula unit
data_ZnSe2F
_cell_length_a 2.9476
_cell_length_b 2.9476
_cell_length_c 26.8442
_cell_angle_alpha 90.00
_cell_angle_beta 90.00
_cell_angle_gamma 120.00
_symmetry_space_group_name_H-M 'R -3 m'
_symmetry_Int_Tables_number 166
_symmetry_space_group_name_Hall '-R 3 2"'
loop_
_atom_site_label
_atom_site_type_symbol
_atom_site_fract_x
_atom_site_fract_y
_atom_site_fract_z
Zn1 Zn 0.0000 0.0000 0.0000
Se1 Se 0.0000 0.0000 0.0908
F1 F 0.0000 0.0000 0.5000


# ZnSe3F, relaxed, DFT PBE-GGA
# **Calculated density**: 4.63 g cm⁻³
# **Uncorrected energy**: -11.7 eV/cell
# **Uncorrected formation energy**: 0.3723 eV/atom
# **Energy above the lowest structure with this stoichiometry**: 0.000 eV/atom
# **Size of the total moment**: 0.00 μB per formula unit
data_ZnSe3F
_cell_length_a 4.8649
_cell_length_b 4.8649
_cell_length_c 4.8649
_cell_angle_alpha 90.00
_cell_angle_beta 90.00
_cell_angle_gamma 90.00
_symmetry_space_group_name_H-M 'P m -3 m'
_symmetry_Int_Tables_number 221
_symmetry_space_group_name_Hall '-P 4 2 3'
loop_
_atom_site_label
_atom_site_type_symbol
_atom_site_fract_x
_atom_site_fract_y
_atom_site_fract_z
Zn1 Zn 0.0000 0.0000 0.0000
Se1 Se 0.0000 0.0000 0.5000
F1 F 0.5000 0.5000 0.5000


# ZnSe2F, relaxed, DFT PBE-GGA
# **Calculated density**: 4.95 g cm⁻³
# **Uncorrected energy**: -46.3 eV/cell
# **Uncorrected formation energy**: -0.3659 eV/atom
# **Energy above the lowest structure with this stoichiometry**: 0.016 eV/atom
# **Size of the total moment**: 0.00 μB per formula unit
data_ZnSe2F
_cell_length_a 4.2261
_cell_length_b 4.2261
_cell_length_c 18.2069
_cell_angle_alpha 90.00
_cell_angle_beta 90.00
_cell_angle_gamma 90.00
_symmetry_space_group_name_H-M 'I -4 2 d'
_symmetry_Int_Tables_number 122
_symmetry_space_group_name_Hall 'I -4 2bw'
loop_
_atom_site_label
_atom_site_type_symbol
_atom_site_fract_x
_atom_site_fract_y
_atom_site_fract_z
Zn1 Zn 0.0000 0.0000 0.0000
Se1 Se 0.1574 0.2500 0.1250
F1 F 0.0000 0.0000 0.5000


# ZnSeF2, relaxed, DFT PBE-GGA
# **Calculated density**: 5.26 g cm⁻³
# **Uncorrected energy**: -41.9 eV/cell
# **Uncorrected formation energy**: -0.4960 eV/atom
# **Energy above the lowest structure with this stoichiometry**: 0.902 eV/atom
# **Size of the total moment**: 1.96 μB per formula unit
data_ZnSeF2
_cell_length_a 6.1299
_cell_length_b 6.1299
_cell_length_c 6.1299
_cell_angle_alpha 90.00
_cell_angle_beta 90.00
_cell_angle_gamma 90.00
_symmetry_space_group_name_H-M 'F m -3 m'
_symmetry_Int_Tables_number 225
_symmetry_space_group_name_Hall '-F 4 2 3'
loop_
_atom_site_label
_atom_site_type_symbol
_atom_site_fract_x
_atom_site_fract_y
_atom_site_fract_z
Zn1 Zn 0.0000 0.0000 0.0000
Se1 Se 0.0000 0.0000 0.5000
F1 F 0.2500 0.2500 0.2500


# ZnSe2F, relaxed, DFT PBE-GGA
# **Calculated density**: 4.38 g cm⁻³
# **Uncorrected energy**: -34.9 eV/cell
# **Uncorrected formation energy**: -0.3820 eV/atom
# **Energy above the lowest structure with this stoichiometry**: 0.000 eV/atom
# **Size of the total moment**: 0.00 μB per formula unit
data_ZnSe2F
_cell_length_a 3.9580
_cell_length_b 3.9580
_cell_length_c 20.2991
_cell_angle_alpha 90.00
_cell_angle_beta 90.00
_cell_angle_gamma 120.00
_symmetry_space_group_name_H-M 'R -3 m'
_symmetry_Int_Tables_number 166
_symmetry_space_group_name_Hall '-R 3 2"'
loop_
_atom_site_label
_atom_site_type_symbol
_atom_site_fract_x
_atom_site_fract_y
_atom_site_fract_z
Zn1 Zn 0.0000 0.0000 0.0000
Se1 Se 0.0000 0.0000 0.3951
F1 F 0.0000 0.0000 0.5000


# ZnSe2F, relaxed, DFT PBE-GGA
# **Calculated density**: 6.30 g cm⁻³
# **Uncorrected energy**: -44.1 eV/cell
# **Uncorrected formation energy**: -0.2273 eV/atom
# **Energy above the lowest structure with this stoichiometry**: 0.155 eV/atom
# **Size of the total moment**: 0.00 μB per formula unit
data_ZnSe2F
_cell_length_a 6.3451
_cell_length_b 6.3451
_cell_length_c 6.3451
_cell_angle_alpha 90.00
_cell_angle_beta 90.00
_cell_angle_gamma 90.00
_symmetry_space_group_name_H-M 'F m -3 m'
_symmetry_Int_Tables_number 225
_symmetry_space_group_name_Hall '-F 4 2 3'
loop_
_atom_site_label
_atom_site_type_symbol
_atom_site_fract_x
_atom_site_fract_y
_atom_site_fract_z
Zn1 Zn 0.0000 0.0000 0.0000
Se1 Se 0.2500 0.2500 0.2500
F1 F 0.0000 0.0000 0.5000


# ZnSeF2, relaxed, DFT PBE-GGA
# **Calculated density**: 4.61 g cm⁻³
# **Uncorrected energy**: -51.3 eV/cell
# **Uncorrected formation energy**: -1.0784 eV/atom
# **Energy above the lowest structure with this stoichiometry**: 0.320 eV/atom
# **Size of the total moment**: 0.00 μB per formula unit
data_ZnSeF2
_cell_length_a 5.8895
_cell_length_b 5.8895
_cell_length_c 7.5769
_cell_angle_alpha 90.00
_cell_angle_beta 90.00
_cell_angle_gamma 90.00
_symmetry_space_group_name_H-M 'I -4 2 d'
_symmetry_Int_Tables_number 122
_symmetry_space_group_name_Hall 'I -4 2bw'
loop_
_atom_site_label
_atom_site_type_symbol
_atom_site_fract_x
_atom_site_fract_y
_atom_site_fract_z
Zn1 Zn 0.0000 0.0000 0.0000
Se1 Se 0.0000 0.0000 0.5000
F1 F 0.1219 0.2500 0.1250


# ZnSeF2, relaxed, DFT PBE-GGA
# **Calculated density**: 4.89 g cm⁻³
# **Uncorrected energy**: -42.3 eV/cell
# **Uncorrected formation energy**: -1.3983 eV/atom
# **Energy above the lowest structure with this stoichiometry**: 0.000 eV/atom
# **Size of the total moment**: 0.00 μB per formula unit
data_ZnSeF2
_cell_length_a 2.9342
_cell_length_b 2.9342
_cell_length_c 24.9073
_cell_angle_alpha 90.00
_cell_angle_beta 90.00
_cell_angle_gamma 120.00
_symmetry_space_group_name_H-M 'R -3 m'
_symmetry_Int_Tables_number 166
_symmetry_space_group_name_Hall '-R 3 2"'
loop_
_atom_site_label
_atom_site_type_symbol
_atom_site_fract_x
_atom_site_fract_y
_atom_site_fract_z
Zn1 Zn 0.0000 0.0000 0.0000
Se1 Se 0.0000 0.0000 0.5000
F1 F 0.0000 0.0000 0.3774


# ZrSe2F, relaxed, DFT PBE-GGA
# **Calculated density**: 4.67 g cm⁻³
# **Uncorrected energy**: -66.7 eV/cell
# **Uncorrected formation energy**: -1.2139 eV/atom
# **Energy above the lowest structure with this stoichiometry**: 0.000 eV/atom
# **Size of the total moment**: 0.00 μB per formula unit
data_ZrSe2F
_cell_length_a 3.8320
_cell_length_b 3.8320
_cell_length_c 22.4689
_cell_angle_alpha 90.00
_cell_angle_beta 90.00
_cell_angle_gamma 120.00
_symmetry_space_group_name_H-M 'R -3 m'
_symmetry_Int_Tables_number 166
_symmetry_space_group_name_Hall '-R 3 2"'
loop_
_atom_site_label
_atom_site_type_symbol
_atom_site_fract_x
_atom_site_fract_y
_atom_site_fract_z
Zr1 Zr 0.0000 0.0000 0.0000
Se1 Se 0.0000 0.0000 0.4025
F1 F 0.0000 0.0000 0.5000